This record from Alexandria via LeMat-Bulk describes Dy2Y7Ho4 after structural relaxation. The functional is PBE.

Properties
Calculated formation energy, kJ per mole of atoms: 2.3
V, A^3/atom: 31.69

```
data_Dy2Y7Ho4
_chemical_formula_sum 'Dy2 Y7 Ho4'
_cell_length_a 6.1464
_cell_length_b 7.9390
_cell_length_c 9.4059
_cell_angle_alpha 65.08
_cell_angle_beta 83.80
_cell_angle_gamma 82.57
_symmetry_space_group_name_H-M 'P -1'
_symmetry_Int_Tables_number 2
loop_
_symmetry_equiv_pos_as_xyz
'x,y,z'
'-x,-y,-z'
loop_
_atom_site_label
_atom_site_fract_x
_atom_site_fract_y
_atom_site_fract_z
Dy1 0.1538 0.1912 0.3849
Y1 0.0000 0.5000 0.0000
Y2 0.0771 0.3460 0.6923
Y3 0.2322 0.0383 0.0770
Y4 0.3859 0.7317 0.4620
Ho1 0.3074 0.8829 0.7697
Ho2 0.4602 0.5755 0.1536
```